Record 1
This record from Alexandria describes a geometry-optimized RhAuSe2 structure. The functional is PBE.

* crystal system: orthorhombic
* raw formation energy: -0.0903 eV per atom

a b c (Å): 6.1598 6.4949 8.0893
angles (deg): 90.00 90.00 90.00
Space group Pnma (No. 62)
Symmetry-distinct sites (fractional):
Rh 0.0000 0.0000 0.0000 [4 per cell]
Au 0.1319 0.2500 0.4545 [4 per cell]
Se 0.0528 0.2500 0.7736 [4 per cell]
Se 0.2275 0.2500 0.1475 [4 per cell]

Record 2
This record from Alexandria describes a geometry-optimized RhAu2Se structure. The functional is PBE.

* crystal system: orthorhombic
* raw formation energy: 0.3218 eV per atom

a b c (Å): 2.8327 4.3823 5.6748
angles (deg): 90.00 90.00 90.00
Space group Pmmm (No. 47)
Symmetry-distinct sites (fractional):
Rh 0.0000 0.0000 0.0000 [1 per cell]
Au 0.5000 0.5000 0.2419 [2 per cell]
Se 0.0000 0.0000 0.5000 [1 per cell]

Record 3
This record from Alexandria describes a geometry-optimized RhAuSe2 structure. The functional is PBE.

* crystal system: tetragonal
* raw formation energy: -0.0588 eV per atom

a b c (Å): 5.2040 5.2040 11.7601
angles (deg): 90.00 90.00 90.00
Space group I4_1/amd (No. 141, origin choice 2)
Symmetry-distinct sites (fractional):
Rh 0.0000 0.2500 0.3750 [4 per cell]
Au 0.0000 0.2500 0.8750 [4 per cell]
Se 0.0000 0.2500 0.1617 [8 per cell]

Record 4
This record from Alexandria describes a geometry-optimized RhAuSe3 structure. The functional is PBE.

* crystal system: cubic
* ΔE to the lowest computed polymorph: 0.0 meV/atom
* raw formation energy: 0.5720 eV per atom

a b c (Å): 4.8783 4.8783 4.8783
angles (deg): 90.00 90.00 90.00
Space group Pm-3m (No. 221)
Symmetry-distinct sites (fractional):
Rh 0.0000 0.0000 0.0000 [1 per cell]
Au 0.5000 0.5000 0.5000 [1 per cell]
Se 0.0000 0.0000 0.5000 [3 per cell]

Record 5
This record from Alexandria describes a geometry-optimized Rh2AuSe structure. The functional is PBE.

* crystal system: orthorhombic
* raw formation energy: 0.2771 eV per atom

a b c (Å): 2.9041 4.9575 9.0242
angles (deg): 90.00 90.00 90.00
Space group Cmmm (No. 65)
Symmetry-distinct sites (fractional):
Rh 0.0000 0.0000 0.2327 [4 per cell]
Au 0.0000 0.5000 0.5000 [2 per cell]
Se 0.0000 0.5000 0.0000 [2 per cell]

Record 6
This record from Alexandria describes a geometry-optimized RhAuSe2 structure. The functional is PBE.

* crystal system: tetragonal
* raw formation energy: 0.0694 eV per atom

a b c (Å): 3.7790 3.7790 5.3376
angles (deg): 90.00 90.00 90.00
Space group P4/mmm (No. 123)
Symmetry-distinct sites (fractional):
Rh 0.0000 0.0000 0.0000 [1 per cell]
Au 0.5000 0.5000 0.5000 [1 per cell]
Se 0.0000 0.0000 0.5000 [1 per cell]
Se 0.5000 0.5000 0.0000 [1 per cell]

Record 7
This record from Alexandria describes a geometry-optimized RhAu2Se structure. The functional is PBE.

* crystal system: tetragonal
* raw formation energy: 0.0207 eV per atom

a b c (Å): 3.0350 3.0350 7.9122
angles (deg): 90.00 90.00 90.00
Space group P4mm (No. 99)
Symmetry-distinct sites (fractional):
Rh 0.0000 0.0000 0.0000 [1 per cell]
Au 0.0000 0.0000 0.4980 [1 per cell]
Au 0.5000 0.5000 0.7447 [1 per cell]
Se 0.5000 0.5000 0.1646 [1 per cell]

Record 8
This record from Alexandria describes a geometry-optimized RhAu3Se structure. The functional is PBE.

* crystal system: cubic
* ΔE to the lowest computed polymorph: 166.2 meV/atom
* raw formation energy: 1.1010 eV per atom

a b c (Å): 4.9976 4.9976 4.9976
angles (deg): 90.00 90.00 90.00
Space group Pm-3m (No. 221)
Symmetry-distinct sites (fractional):
Rh 0.0000 0.0000 0.0000 [1 per cell]
Au 0.0000 0.0000 0.5000 [3 per cell]
Se 0.5000 0.5000 0.5000 [1 per cell]

Record 9
This record from Alexandria describes a geometry-optimized Rh2AuSe structure. The functional is PBE.

* crystal system: monoclinic
* raw formation energy: 0.1275 eV per atom

a b c (Å): 3.0706 4.5522 4.8615
angles (deg): 90.00 97.70 90.00
Space group Pm (No. 6)
Symmetry-distinct sites (fractional):
Rh 0.0000 0.0000 0.0000 [1 per cell]
Rh 0.1440 0.5000 0.6635 [1 per cell]
Au 0.5636 0.0000 0.4879 [1 per cell]
Se 0.7289 0.5000 0.0585 [1 per cell]

Record 10
This record from Alexandria describes a geometry-optimized RhAuSe2 structure. The functional is PBE.

* crystal system: tetragonal
* raw formation energy: 0.1490 eV per atom

a b c (Å): 3.1370 3.1370 7.2667
angles (deg): 90.00 90.00 90.00
Space group P4/mmm (No. 123)
Symmetry-distinct sites (fractional):
Rh 0.0000 0.0000 0.0000 [1 per cell]
Au 0.0000 0.0000 0.5000 [1 per cell]
Se 0.5000 0.5000 0.2132 [2 per cell]

Record 11
This record from Alexandria describes a geometry-optimized RhAu2Se structure. The functional is PBE.

* crystal system: tetragonal
* raw formation energy: 0.2757 eV per atom

a b c (Å): 3.8966 3.8966 9.2706
angles (deg): 90.00 90.00 90.00
Space group I4/mmm (No. 139)
Symmetry-distinct sites (fractional):
Rh 0.0000 0.0000 0.0000 [2 per cell]
Au 0.0000 0.5000 0.2500 [4 per cell]
Se 0.0000 0.0000 0.5000 [2 per cell]

Record 12
This record from Alexandria describes a geometry-optimized RhAuSe2 structure. The functional is PBE.

* crystal system: monoclinic
* raw formation energy: -0.0202 eV per atom

a b c (Å): 9.7103 3.6121 5.0592
angles (deg): 90.00 97.32 90.00
Space group Cm (No. 8)
Symmetry-distinct sites (fractional):
Rh 0.0000 0.0000 0.0000 [2 per cell]
Au 0.2123 0.5000 0.8764 [2 per cell]
Se 0.0746 0.5000 0.3071 [2 per cell]
Se 0.3958 0.0000 0.6930 [2 per cell]

Record 13
This record from Alexandria describes a geometry-optimized RhAuSe2 structure. The functional is PBE.

* crystal system: monoclinic
* raw formation energy: -0.1367 eV per atom

a b c (Å): 7.0649 3.8987 5.8775
angles (deg): 90.00 99.74 90.00
Space group C2/m (No. 12)
Symmetry-distinct sites (fractional):
Rh 0.0000 0.0000 0.0000 [2 per cell]
Au 0.0000 0.0000 0.5000 [2 per cell]
Se 0.1490 0.5000 0.8013 [4 per cell]

Record 14
This record from Alexandria describes a geometry-optimized Rh2AuSe structure. The functional is PBE.

* crystal system: orthorhombic
* raw formation energy: 0.2096 eV per atom

a b c (Å): 3.5016 4.6063 8.0810
angles (deg): 90.00 90.00 90.00
Space group Immm (No. 71)
Symmetry-distinct sites (fractional):
Rh 0.0000 0.0000 0.2153 [4 per cell]
Au 0.0000 0.5000 0.0000 [2 per cell]
Se 0.0000 0.5000 0.5000 [2 per cell]

Record 15
This record from Alexandria describes a geometry-optimized RhAuSe2 structure. The functional is PBE.

* crystal system: tetragonal
* raw formation energy: 0.0631 eV per atom

a b c (Å): 2.9975 2.9975 8.7921
angles (deg): 90.00 90.00 90.00
Space group P4mm (No. 99)
Symmetry-distinct sites (fractional):
Rh 0.0000 0.0000 0.0000 [1 per cell]
Au 0.5000 0.5000 0.7639 [1 per cell]
Se 0.0000 0.0000 0.5156 [1 per cell]
Se 0.5000 0.5000 0.1489 [1 per cell]

Record 16
This record from Alexandria describes a geometry-optimized Rh2AuSe structure. The functional is PBE.

* crystal system: monoclinic
* raw formation energy: 0.1380 eV per atom

a b c (Å): 9.6623 2.9782 4.8166
angles (deg): 90.00 104.88 90.00
Space group Cm (No. 8)
Symmetry-distinct sites (fractional):
Rh 0.0000 0.0000 0.0000 [2 per cell]
Rh 0.2478 0.0000 0.7450 [2 per cell]
Au 0.2638 0.5000 0.2530 [2 per cell]
Se 0.0340 0.5000 0.6207 [2 per cell]

Record 17
This record from Alexandria describes a geometry-optimized Rh2AuSe structure. The functional is PBE.

* crystal system: orthorhombic
* raw formation energy: 0.3497 eV per atom

a b c (Å): 2.9127 4.6047 4.8659
angles (deg): 90.00 90.00 90.00
Space group Pmmm (No. 47)
Symmetry-distinct sites (fractional):
Rh 0.0000 0.0000 0.0000 [1 per cell]
Rh 0.5000 0.0000 0.5000 [1 per cell]
Au 0.0000 0.5000 0.5000 [1 per cell]
Se 0.5000 0.5000 0.0000 [1 per cell]

Record 18
This record from Alexandria describes a geometry-optimized RhAuSe2 structure. The functional is PBE.

* crystal system: orthorhombic
* raw formation energy: -0.0995 eV per atom

a b c (Å): 5.8138 3.8055 14.1943
angles (deg): 90.00 90.00 90.00
Space group Pnma (No. 62)
Symmetry-distinct sites (fractional):
Rh 0.0364 0.2500 0.1151 [4 per cell]
Au 0.2042 0.7500 0.3482 [4 per cell]
Se 0.0754 0.7500 0.7039 [4 per cell]
Se 0.2140 0.7500 0.0290 [4 per cell]

Record 19
This record from Alexandria describes a geometry-optimized RhAu2Se structure. The functional is PBE.

* crystal system: orthorhombic
* raw formation energy: 0.1518 eV per atom

a b c (Å): 3.1254 4.7269 9.8824
angles (deg): 90.00 90.00 90.00
Space group Imm2 (No. 44)
Symmetry-distinct sites (fractional):
Rh 0.0000 0.0000 0.0000 [2 per cell]
Au 0.0000 0.0000 0.4737 [2 per cell]
Au 0.0000 0.5000 0.2623 [2 per cell]
Se 0.0000 0.5000 0.6834 [2 per cell]

Record 20
This record from Alexandria describes a geometry-optimized RhAuSe2 structure. The functional is PBE.

* crystal system: trigonal
* raw formation energy: -0.0351 eV per atom

a b c (Å): 4.1639 4.1639 5.4777
angles (deg): 90.00 90.00 120.00
Space group P3m1 (No. 156)
Symmetry-distinct sites (fractional):
Rh 0.0000 0.0000 0.0000 [1 per cell]
Au 0.6667 0.3333 0.7227 [1 per cell]
Se 0.0000 0.0000 0.5338 [1 per cell]
Se 0.3333 0.6667 0.1116 [1 per cell]